# 1
! Li3Zn2Ag8 PBE optimized geometry; values from VASP
&SYSTEM
  ibrav = 0, nat = 13, ntyp = 3
/
ATOMIC_SPECIES
Li 6.94 Li.upf
Zn 65.41 Zn.upf
Ag 107.87 Ag.upf
CELL_PARAMETERS angstrom
2.739 1.581 9.509
-2.739 1.581 9.509
0.000 -3.163 9.509
ATOMIC_POSITIONS angstrom
Li 0.000 0.000 0.000
Li 0.000 0.000 5.289
Li 0.000 0.000 23.238
Zn 0.000 0.000 10.399
Zn 0.000 0.000 18.128
Ag -1.375 -0.794 15.972
Ag 0.000 -1.588 12.555
Ag -1.375 0.794 12.555
Ag 0.000 0.000 7.874
Ag 0.000 0.000 20.653
Ag 1.375 -0.794 15.972
Ag 0.000 1.588 15.972
Ag 1.375 0.794 12.555
! V = 19.0 A^3/atom
! theoretical density = 6.818 g/cm3
! formation enthalpy at 0 K = 0.015 eV per atom
! final energy = -30.904 eV/cell
! SG = R-3m (166)



# 2
! Li3ZnAg7 PBE optimized geometry; values from VASP
&SYSTEM
  ibrav = 0, nat = 11, ntyp = 3
/
ATOMIC_SPECIES
Li 6.94 Li.upf
Zn 65.41 Zn.upf
Ag 107.87 Ag.upf
CELL_PARAMETERS angstrom
4.355 -4.824 0.000
4.355 4.824 0.000
-2.075 0.000 4.707
ATOMIC_POSITIONS angstrom
Li 0.000 0.000 0.000
Li 3.318 2.599 2.354
Li 3.318 -2.599 2.354
Zn 4.355 0.000 0.000
Ag 1.171 2.502 3.829
Ag 0.419 0.000 2.669
Ag 5.465 2.502 0.878
Ag 3.318 0.000 2.354
Ag 1.171 -2.502 3.829
Ag 6.217 0.000 2.038
Ag 5.465 -2.502 0.878
! V = 18.0 A^3/atom
! theoretical density = 7.062 g/cm3
! formation enthalpy at 0 K = 0.003 eV per atom
! final energy = -26.945 eV/cell
! SG = C2/m (12)



# 3
! LiZnAg2 PBE optimized geometry; values from VASP
&SYSTEM
  ibrav = 0, nat = 8, ntyp = 3
/
ATOMIC_SPECIES
Li 6.94 Li.upf
Zn 65.41 Zn.upf
Ag 107.87 Ag.upf
CELL_PARAMETERS angstrom
6.067 0.000 0.000
0.000 6.802 0.000
0.000 0.000 3.090
ATOMIC_POSITIONS angstrom
Li 0.000 0.000 0.000
Li 3.033 3.401 0.000
Zn 0.000 3.401 0.000
Zn 3.033 0.000 0.000
Ag 1.517 1.701 1.545
Ag 1.517 5.102 1.545
Ag 4.550 1.701 1.545
Ag 4.550 5.102 1.545
! V = 15.9 A^3/atom
! theoretical density = 7.502 g/cm3
! formation enthalpy at 0 K = -0.156 eV per atom
! final energy = -19.029 eV/cell
! SG = Cmmm (65)



# 4
! LiZnAg2 PBE optimized geometry; values from VASP
&SYSTEM
  ibrav = 0, nat = 12, ntyp = 3
/
ATOMIC_SPECIES
Li 6.94 Li.upf
Zn 65.41 Zn.upf
Ag 107.87 Ag.upf
CELL_PARAMETERS angstrom
2.891 0.000 0.000
-1.446 2.504 0.000
0.000 0.000 27.394
ATOMIC_POSITIONS angstrom
Li 0.000 0.000 0.000
Li 0.000 1.669 18.262
Li 1.446 0.835 9.131
Zn 0.000 0.000 13.697
Zn 0.000 1.669 4.566
Zn 1.446 0.835 22.828
Ag 0.000 0.000 6.886
Ag 0.000 0.000 20.507
Ag 0.000 1.669 11.376
Ag 0.000 1.669 25.149
Ag 1.446 0.835 2.245
Ag 1.446 0.835 16.017
! V = 16.5 A^3/atom
! theoretical density = 7.236 g/cm3
! formation enthalpy at 0 K = -0.094 eV per atom
! final energy = -27.798 eV/cell
! SG = R-3m (166)



# 5
! Li2ZnAg PBE optimized geometry; values from VASP
&SYSTEM
  ibrav = 0, nat = 16, ntyp = 3
/
ATOMIC_SPECIES
Li 6.94 Li.upf
Zn 65.41 Zn.upf
Ag 107.87 Ag.upf
CELL_PARAMETERS angstrom
6.294 0.000 0.000
0.000 6.294 0.000
0.000 0.000 6.294
ATOMIC_POSITIONS angstrom
Li 0.000 0.000 0.000
Li 0.000 3.147 3.147
Li 1.574 1.574 1.574
Li 1.574 4.721 4.721
Li 3.147 0.000 3.147
Li 3.147 3.147 0.000
Li 4.721 1.574 4.721
Li 4.721 4.721 1.574
Zn 1.574 1.574 4.721
Zn 1.574 4.721 1.574
Zn 4.721 1.574 1.574
Zn 4.721 4.721 4.721
Ag 0.000 0.000 3.147
Ag 0.000 3.147 0.000
Ag 3.147 0.000 0.000
Ag 3.147 3.147 3.147
! V = 15.6 A^3/atom
! theoretical density = 4.985 g/cm3
! formation enthalpy at 0 K = -0.214 eV per atom
! final energy = -35.243 eV/cell
! SG = F-43m (216)



# 6
! Li2Zn5Ag3 PBE optimized geometry; values from VASP
&SYSTEM
  ibrav = 0, nat = 20, ntyp = 3
/
ATOMIC_SPECIES
Li 6.94 Li.upf
Zn 65.41 Zn.upf
Ag 107.87 Ag.upf
CELL_PARAMETERS angstrom
4.757 -6.585 0.000
4.757 6.585 0.000
-0.260 0.000 5.133
ATOMIC_POSITIONS angstrom
Li 3.347 3.294 4.499
Li 5.776 3.294 3.201
Li 3.477 -3.294 1.932
Li 5.906 -3.294 0.635
Zn 4.562 6.128 3.850
Zn 2.360 0.490 0.009
Zn 3.473 1.965 1.826
Zn 2.230 -0.490 2.575
Zn 5.910 1.965 0.740
Zn 3.343 -1.965 4.393
Zn 7.023 0.490 2.558
Zn 5.780 -1.965 3.307
Zn 6.893 -0.490 5.124
Zn 4.692 -6.128 1.283
Ag 3.414 4.562 1.964
Ag 5.969 4.562 0.603
Ag 4.562 0.628 3.850
Ag 4.692 -0.628 1.283
Ag 3.284 -4.562 4.530
Ag 5.839 -4.562 3.169
! V = 16.1 A^3/atom
! theoretical density = 6.864 g/cm3
! formation enthalpy at 0 K = -0.106 eV per atom
! final energy = -39.626 eV/cell
! SG = C2/c (15)



# 7
! Li3Zn3Ag5 PBE optimized geometry; values from VASP
&SYSTEM
  ibrav = 0, nat = 11, ntyp = 3
/
ATOMIC_SPECIES
Li 6.94 Li.upf
Zn 65.41 Zn.upf
Ag 107.87 Ag.upf
CELL_PARAMETERS angstrom
8.928 0.000 0.000
-4.464 7.731 0.000
0.000 0.000 2.850
ATOMIC_POSITIONS angstrom
Li -1.829 3.168 0.000
Li 3.658 0.000 0.000
Li 2.635 4.563 0.000
Zn -0.741 1.284 1.425
Zn 1.483 0.000 1.425
Zn 3.722 6.447 1.425
Ag -2.944 5.099 1.425
Ag 0.000 5.154 1.425
Ag 1.520 2.632 1.425
Ag 5.888 0.000 1.425
Ag 4.464 2.577 1.425
! V = 17.9 A^3/atom
! theoretical density = 6.384 g/cm3
! formation enthalpy at 0 K = 0.033 eV per atom
! final energy = -23.454 eV/cell
! SG = P-62m (189)



# 8
! LiZnAg2 PBE optimized geometry; values from VASP
&SYSTEM
  ibrav = 0, nat = 8, ntyp = 3
/
ATOMIC_SPECIES
Li 6.94 Li.upf
Zn 65.41 Zn.upf
Ag 107.87 Ag.upf
CELL_PARAMETERS angstrom
9.163 0.000 0.000
0.000 2.883 0.000
-0.952 0.000 4.977
ATOMIC_POSITIONS angstrom
Li 0.000 0.000 0.000
Li 4.582 1.441 0.000
Zn -0.476 1.441 2.488
Zn 4.106 0.000 2.488
Ag 1.526 0.000 3.732
Ag 2.104 1.441 1.245
Ag 6.108 1.441 3.732
Ag 6.686 0.000 1.245
! V = 16.4 A^3/atom
! theoretical density = 7.278 g/cm3
! formation enthalpy at 0 K = -0.130 eV per atom
! final energy = -18.821 eV/cell
! SG = C2/m (12)



# 9
! Li2Zn3Ag7 PBE optimized geometry; values from VASP
&SYSTEM
  ibrav = 0, nat = 12, ntyp = 3
/
ATOMIC_SPECIES
Li 6.94 Li.upf
Zn 65.41 Zn.upf
Ag 107.87 Ag.upf
CELL_PARAMETERS angstrom
4.708 0.000 0.000
1.572 4.672 0.000
2.227 -0.219 9.469
ATOMIC_POSITIONS angstrom
Li 1.078 -0.013 1.723
Li 7.429 4.467 7.746
Zn 1.114 -0.109 4.734
Zn 3.252 1.275 8.543
Zn 5.255 3.179 0.925
Ag 1.923 2.246 3.139
Ag 5.185 3.254 8.709
Ag 3.483 -0.090 6.209
Ag 4.254 2.227 4.734
Ag 5.024 4.544 3.260
Ag 3.323 1.199 0.759
Ag 6.585 2.207 6.330
! V = 17.4 A^3/atom
! theoretical density = 7.695 g/cm3
! formation enthalpy at 0 K = -0.044 eV per atom
! final energy = -28.135 eV/cell
! SG = P-1 (2)



# 10
! LiZn2Ag2 PBE optimized geometry; values from VASP
&SYSTEM
  ibrav = 0, nat = 10, ntyp = 3
/
ATOMIC_SPECIES
Li 6.94 Li.upf
Zn 65.41 Zn.upf
Ag 107.87 Ag.upf
CELL_PARAMETERS angstrom
3.645 0.000 0.000
0.000 3.645 0.000
0.000 0.000 13.576
ATOMIC_POSITIONS angstrom
Li 0.000 0.000 0.000
Li 1.823 1.823 6.788
Zn 0.000 1.823 3.394
Zn 0.000 1.823 10.182
Zn 1.823 0.000 3.394
Zn 1.823 0.000 10.182
Ag 0.000 0.000 5.422
Ag 0.000 0.000 8.154
Ag 1.823 1.823 1.366
Ag 1.823 1.823 12.210
! V = 18.0 A^3/atom
! theoretical density = 6.508 g/cm3
! formation enthalpy at 0 K = -0.017 eV per atom
! final energy = -20.502 eV/cell
! SG = I4/mmm (139)



# 11
! Li6ZnAg3 PBE optimized geometry; values from VASP
&SYSTEM
  ibrav = 0, nat = 20, ntyp = 3
/
ATOMIC_SPECIES
Li 6.94 Li.upf
Zn 65.41 Zn.upf
Ag 107.87 Ag.upf
CELL_PARAMETERS angstrom
7.466 0.000 0.000
0.000 4.634 0.000
-3.492 0.000 9.353
ATOMIC_POSITIONS angstrom
Li -1.152 1.158 3.121
Li -0.508 3.475 1.599
Li -0.720 1.158 5.912
Li -1.815 3.475 9.147
Li 1.490 1.158 3.974
Li 0.406 3.475 7.301
Li 3.568 1.158 2.052
Li 2.484 3.475 5.379
Li 5.789 1.158 0.206
Li 4.694 3.475 3.441
Li 4.482 1.158 7.754
Li 5.126 3.475 6.232
Zn -0.296 1.158 8.672
Zn 4.270 3.475 0.681
Ag 0.971 1.158 1.137
Ag -0.145 3.475 4.463
Ag 2.111 3.475 2.567
Ag 1.863 1.158 6.786
Ag 4.119 1.158 4.890
Ag 3.003 3.475 8.215
! V = 16.2 A^3/atom
! theoretical density = 4.421 g/cm3
! formation enthalpy at 0 K = -0.177 eV per atom
! final energy = -46.164 eV/cell
! SG = P2_1/m (11)



# 12
! LiZn6Ag2 PBE optimized geometry; values from VASP
&SYSTEM
  ibrav = 0, nat = 9, ntyp = 3
/
ATOMIC_SPECIES
Li 6.94 Li.upf
Zn 65.41 Zn.upf
Ag 107.87 Ag.upf
CELL_PARAMETERS angstrom
5.645 0.000 0.000
-2.823 4.889 0.000
0.000 0.000 5.190
ATOMIC_POSITIONS angstrom
Li 0.000 0.000 0.000
Zn 0.000 1.769 1.673
Zn -1.291 4.005 1.673
Zn 1.532 0.884 3.516
Zn 1.291 4.005 1.673
Zn 4.114 0.884 3.516
Zn 2.823 3.120 3.516
Ag 0.000 3.259 4.347
Ag 2.823 1.630 0.843
! V = 15.9 A^3/atom
! theoretical density = 7.131 g/cm3
! formation enthalpy at 0 K = 0.064 eV per atom
! final energy = -14.684 eV/cell
! SG = P-3m1 (164)



# 13
! Li6Zn5Ag PBE optimized geometry; values from VASP
&SYSTEM
  ibrav = 0, nat = 12, ntyp = 3
/
ATOMIC_SPECIES
Li 6.94 Li.upf
Zn 65.41 Zn.upf
Ag 107.87 Ag.upf
CELL_PARAMETERS angstrom
2.196 -6.573 0.000
2.196 6.573 0.000
-0.067 0.000 6.218
ATOMIC_POSITIONS angstrom
Li -0.015 0.000 1.539
Li 4.341 0.000 4.679
Li 2.145 2.199 4.673
Li 2.182 2.199 1.545
Li 2.145 -2.199 4.673
Li 2.182 -2.199 1.545
Zn 2.196 4.374 0.000
Zn 2.163 4.378 3.109
Zn 2.196 0.000 0.000
Zn 2.196 -4.374 0.000
Zn 2.163 -4.378 3.109
Ag 2.163 0.000 3.109
! V = 15.0 A^3/atom
! theoretical density = 4.407 g/cm3
! formation enthalpy at 0 K = -0.163 eV per atom
! final energy = -22.662 eV/cell
! SG = C2/m (12)



# 14
! LiZn15Ag4 PBE optimized geometry; values from VASP
&SYSTEM
  ibrav = 0, nat = 20, ntyp = 3
/
ATOMIC_SPECIES
Li 6.94 Li.upf
Zn 65.41 Zn.upf
Ag 107.87 Ag.upf
CELL_PARAMETERS angstrom
3.976 0.000 0.000
0.000 3.976 0.000
0.000 0.000 19.536
ATOMIC_POSITIONS angstrom
Li 0.000 0.000 0.000
Zn 0.000 1.988 1.867
Zn 0.000 1.988 5.831
Zn 0.000 1.988 9.768
Zn 0.000 1.988 13.705
Zn 0.000 1.988 17.669
Zn 1.988 0.000 1.867
Zn 1.988 0.000 5.831
Zn 1.988 0.000 9.768
Zn 1.988 0.000 13.705
Zn 1.988 0.000 17.669
Zn 1.988 1.988 0.000
Zn 1.988 1.988 3.887
Zn 1.988 1.988 7.787
Zn 1.988 1.988 11.749
Zn 1.988 1.988 15.649
Ag 0.000 0.000 3.826
Ag 0.000 0.000 7.819
Ag 0.000 0.000 11.717
Ag 0.000 0.000 15.710
! V = 15.4 A^3/atom
! theoretical density = 7.632 g/cm3
! formation enthalpy at 0 K = -0.018 eV per atom
! final energy = -32.786 eV/cell
! SG = P4/mmm (123)



# 15
! Li2ZnAg8 PBE optimized geometry; values from VASP
&SYSTEM
  ibrav = 0, nat = 11, ntyp = 3
/
ATOMIC_SPECIES
Li 6.94 Li.upf
Zn 65.41 Zn.upf
Ag 107.87 Ag.upf
CELL_PARAMETERS angstrom
-2.175 3.533 6.173
2.175 -3.533 6.173
2.175 3.533 -6.173
ATOMIC_POSITIONS angstrom
Li 0.000 0.000 2.479
Li 0.000 0.000 9.867
Zn 0.000 0.000 6.173
Ag 2.175 1.511 -1.869
Ag 0.000 1.394 0.000
Ag 2.175 0.000 4.294
Ag 2.175 1.511 1.869
Ag 0.000 2.022 4.304
Ag 0.000 3.533 1.879
Ag 0.000 5.672 0.000
Ag 0.000 2.022 8.042
! V = 17.2 A^3/atom
! theoretical density = 8.246 g/cm3
! formation enthalpy at 0 K = -0.053 eV per atom
! final energy = -28.491 eV/cell
! SG = Immm (71)



# 16
! Li3Zn6Ag2 PBE optimized geometry; values from VASP
&SYSTEM
  ibrav = 0, nat = 11, ntyp = 3
/
ATOMIC_SPECIES
Li 6.94 Li.upf
Zn 65.41 Zn.upf
Ag 107.87 Ag.upf
CELL_PARAMETERS angstrom
5.104 0.000 0.000
0.969 5.230 0.000
0.976 1.484 6.583
ATOMIC_POSITIONS angstrom
Li 0.000 0.000 0.000
Li 2.527 1.846 4.281
Li 4.522 4.867 2.301
Zn 1.190 0.652 2.230
Zn 2.744 4.479 4.616
Zn 2.558 1.341 0.054
Zn 4.491 5.372 6.528
Zn 4.305 2.235 1.966
Zn 5.859 6.061 4.353
Ag 1.785 3.288 2.035
Ag 5.264 3.425 4.547
! V = 16.0 A^3/atom
! theoretical density = 5.944 g/cm3
! formation enthalpy at 0 K = -0.090 eV per atom
! final energy = -20.079 eV/cell
! SG = P-1 (2)



# 17
! Li3ZnAg4 PBE optimized geometry; values from VASP
&SYSTEM
  ibrav = 0, nat = 16, ntyp = 3
/
ATOMIC_SPECIES
Li 6.94 Li.upf
Zn 65.41 Zn.upf
Ag 107.87 Ag.upf
CELL_PARAMETERS angstrom
6.243 0.000 0.000
0.000 6.180 0.000
-3.099 0.000 6.586
ATOMIC_POSITIONS angstrom
Li 0.000 0.000 0.000
Li 0.008 3.090 3.259
Li 0.014 0.000 3.327
Li 3.122 3.090 0.000
Li 3.130 0.000 3.259
Li 3.136 3.090 3.327
Zn 0.000 3.090 0.000
Zn 3.122 0.000 0.000
Ag -1.542 1.544 4.926
Ag -1.542 4.636 4.926
Ag 1.565 1.546 1.659
Ag 1.565 4.635 1.659
Ag 1.580 1.546 4.926
Ag 1.580 4.635 4.926
Ag 4.686 1.544 1.659
Ag 4.686 4.636 1.659
! V = 15.9 A^3/atom
! theoretical density = 6.766 g/cm3
! formation enthalpy at 0 K = -0.190 eV per atom
! final energy = -39.884 eV/cell
! SG = C2/m (12)



# 18
! Li4ZnAg5 PBE optimized geometry; values from VASP
&SYSTEM
  ibrav = 0, nat = 10, ntyp = 3
/
ATOMIC_SPECIES
Li 6.94 Li.upf
Zn 65.41 Zn.upf
Ag 107.87 Ag.upf
CELL_PARAMETERS angstrom
-4.048 4.048 2.578
4.048 -4.048 2.578
4.048 4.048 -2.578
ATOMIC_POSITIONS angstrom
Li 1.951 1.059 0.000
Li 2.989 -2.097 2.578
Li 1.059 6.145 0.000
Li 2.097 2.989 2.578
Zn 0.000 0.000 3.791
Ag 4.432 1.376 0.021
Ag 0.000 0.000 1.315
Ag 1.376 3.664 0.021
Ag 2.672 0.384 2.599
Ag -0.384 2.672 2.599
! V = 16.9 A^3/atom
! theoretical density = 6.217 g/cm3
! formation enthalpy at 0 K = -0.065 eV per atom
! final energy = -23.836 eV/cell
! SG = I4 (79)



# 19
! LiZnAg2 PBE optimized geometry; values from VASP
&SYSTEM
  ibrav = 0, nat = 4, ntyp = 3
/
ATOMIC_SPECIES
Li 6.94 Li.upf
Zn 65.41 Zn.upf
Ag 107.87 Ag.upf
CELL_PARAMETERS angstrom
2.900 0.000 0.000
0.000 4.348 0.000
-1.216 0.000 5.077
ATOMIC_POSITIONS angstrom
Li 0.000 0.000 0.000
Zn -0.040 2.174 1.468
Ag 0.172 2.174 4.145
Ag 1.452 0.000 2.450
! V = 16.0 A^3/atom
! theoretical density = 7.473 g/cm3
! formation enthalpy at 0 K = -0.134 eV per atom
! final energy = -9.427 eV/cell
! SG = Pm (6)



# 20
! Li5ZnAg2 PBE optimized geometry; values from VASP
&SYSTEM
  ibrav = 0, nat = 16, ntyp = 3
/
ATOMIC_SPECIES
Li 6.94 Li.upf
Zn 65.41 Zn.upf
Ag 107.87 Ag.upf
CELL_PARAMETERS angstrom
4.643 0.000 0.000
0.000 4.643 0.000
0.000 0.000 11.992
ATOMIC_POSITIONS angstrom
Li 0.000 0.000 0.000
Li 0.000 2.322 1.546
Li 0.000 2.322 4.450
Li 0.000 2.322 7.542
Li 0.000 2.322 10.446
Li 2.322 0.000 1.546
Li 2.322 0.000 4.450
Li 2.322 0.000 7.542
Li 2.322 0.000 10.446
Li 2.322 2.322 5.996
Zn 0.000 0.000 5.996
Zn 2.322 2.322 0.000
Ag 0.000 0.000 3.053
Ag 0.000 0.000 8.939
Ag 2.322 2.322 2.943
Ag 2.322 2.322 9.049
! V = 16.2 A^3/atom
! theoretical density = 4.057 g/cm3
! formation enthalpy at 0 K = -0.159 eV per atom
! final energy = -35.636 eV/cell
! SG = I4/mmm (139)



# 21
! Li2ZnAg PBE optimized geometry; values from VASP
&SYSTEM
  ibrav = 0, nat = 8, ntyp = 3
/
ATOMIC_SPECIES
Li 6.94 Li.upf
Zn 65.41 Zn.upf
Ag 107.87 Ag.upf
CELL_PARAMETERS angstrom
9.334 0.000 0.000
0.000 2.850 0.000
-0.921 0.000 4.779
ATOMIC_POSITIONS angstrom
Li 0.000 0.000 0.000
Li 1.527 0.000 3.517
Li 4.667 1.425 0.000
Li 6.194 1.425 3.517
Zn 4.148 0.000 2.358
Zn 8.815 1.425 2.358
Ag 2.085 1.425 1.174
Ag 6.752 0.000 1.174
! V = 15.9 A^3/atom
! theoretical density = 4.890 g/cm3
! formation enthalpy at 0 K = -0.180 eV per atom
! final energy = -17.350 eV/cell
! SG = Cm (8)



# 22
! Li2ZnAg PBE optimized geometry; values from VASP
&SYSTEM
  ibrav = 0, nat = 16, ntyp = 3
/
ATOMIC_SPECIES
Li 6.94 Li.upf
Zn 65.41 Zn.upf
Ag 107.87 Ag.upf
CELL_PARAMETERS angstrom
3.784 0.000 0.000
0.000 3.784 0.000
0.000 0.000 19.202
ATOMIC_POSITIONS angstrom
Li 0.945 0.946 2.400
Li 0.948 0.946 12.001
Li 0.946 2.837 7.201
Li 0.946 2.840 16.802
Li 2.838 0.948 7.201
Li 2.838 0.945 16.802
Li 2.840 2.838 2.400
Li 2.837 2.838 12.001
Zn 0.000 0.000 0.000
Zn 0.000 1.892 4.801
Zn 1.892 0.000 14.402
Zn 1.892 1.892 9.601
Ag 0.000 0.000 9.601
Ag 0.000 1.892 14.402
Ag 1.892 0.000 4.801
Ag 1.892 1.892 0.000
! V = 17.2 A^3/atom
! theoretical density = 4.521 g/cm3
! formation enthalpy at 0 K = -0.001 eV per atom
! final energy = -31.824 eV/cell
! SG = I-42d (122)